DFT (GGA-PBE) results for a relaxed structure of VBi.

Properties
The value obtained for the density of states at the Fermi level is 22.86 states/eV/cell. As for the formation energy: 563.5 meV per atom.

a = 5.808 Å, b = 9.123 Å, c = 13.903 Å
α = 90.00°, β = 90.00°, γ = 90.00°
Space group Fddd (No. 70, origin choice 2)
Unique sites:
V  0.125  0.125  0.057
Bi  0.125  0.302  0.625